Here is a relaxed HfNbCrO6 crystal from the Alexandria database. Energies are from PBE with a Hubbard U.

```
18
Lattice="4.776 0.000 0.000 0.000 4.776 0.000 0.000 0.000 9.362" Properties=species:S:1:pos:R:3 pbc="T T T"
Hf 0.000 0.000 0.000
Hf 2.388 2.388 4.681
Nb 0.000 0.000 6.224
Nb 2.388 2.388 1.543
Cr 0.000 0.000 3.096
Cr 2.388 2.388 7.777
O 0.911 0.911 4.664
O 0.942 0.942 7.718
O 0.948 0.948 1.564
O 1.439 3.336 6.245
O 1.446 3.330 3.037
O 1.476 3.299 9.345
O 3.299 1.476 9.345
O 3.330 1.446 3.037
O 3.336 1.439 6.245
O 3.827 3.827 1.564
O 3.834 3.834 7.718
O 3.864 3.864 4.664
```

Values from the calculation:
SG: P4_2nm
raw total energy: -9.064 eV per atom
calculated volume: 107 Å³/f.u.